# 1
# Rb3NpMn2Se6

A relaxed structure of Rb3NpMn2Se6 (PBE-GGA, the Alexandria database).

abc: 7.0626 12.1712 8.2531
angles: 90.00 106.57 90.00
Last column: nearest neighbours and their distance in Å.
Space group C2/m (No. 12)
One atom of each set of equivalent atoms:
Rb 0.0000 0.0000 0.0000  6 Se 3.39-3.46
Rb 0.0000 0.3348 0.0000  6 Se 3.39-3.46
Np 0.0000 0.5000 0.5000  6 Se 2.82-2.83
Mn 0.0000 0.1671 0.5000  6 Se 2.72-2.74
Se 0.2158 0.0000 0.6820  2 Mn 2.72, 1 Np 2.83
Se 0.2325 0.3276 0.6840  2 Mn 2.72-2.74, 1 Np 2.82

Calculated values
Calculated volume ... 28.33 Å³ per atom
Raw formation energy ... -0.90 eV/atom
Crystal system ... monoclinic



# 2
# Ce2Sc3Tc2

A relaxed structure of Ce2Sc3Tc2 (PBE-GGA, the Alexandria database).

abc: 11.0364 3.7859 8.3456
angles: 90.00 112.67 90.00
Last column: nearest neighbours and their distance in Å.
Space group C2/m (No. 12)
One atom of each set of equivalent atoms:
Ce 0.1586 0.0000 0.2942  2 Tc 2.54
Sc 0.0000 0.5000 0.5000  4 Tc 2.91, 2 Sc 3.22
Sc 0.1211 0.5000 0.9175  3 Tc 2.81-2.93
Tc 0.1928 0.0000 0.7204  2 Ce 2.54, 2 Sc 2.81

Calculated values
Total energy ... -7.5084 eV per atom
Calculated volume ... 22.98 Å³ per atom
Crystal system ... monoclinic



# 3
# ThCuAgPb

A relaxed structure of ThCuAgPb (PBE-GGA, the Alexandria database).

abc: 7.1413 7.1413 7.1413
angles: 90.00 90.00 90.00
Last column: nearest neighbours and their distance in Å.
Space group F-43m (No. 216)
One atom of each set of equivalent atoms:
Th 0.0000 0.0000 0.0000  4 Cu 3.09, 4 Ag 3.09
Cu 0.2500 0.2500 0.2500  4 Pb 3.09, 4 Th 3.09
Ag 0.2500 0.2500 0.7500  4 Pb 3.09, 4 Th 3.09
Pb 0.0000 0.0000 0.5000  4 Cu 3.09, 4 Ag 3.09

Calculated values
Total energy ... -4.6054 eV per atom
Calculated volume ... 22.76 Å³ per atom
Crystal system ... cubic



# 4
# Sr4GeBr5

A relaxed structure of Sr4GeBr5 (PBE-GGA, the Alexandria database).

abc: 19.7487 4.3388 9.4107
angles: 90.00 106.30 90.00
Last column: nearest neighbours and their distance in Å.
Space group C2/m (No. 12)
One atom of each set of equivalent atoms:
Sr 0.0010 0.0000 0.2497  4 Br 3.13-3.24, 2 Ge 3.19
Sr 0.1661 0.5000 0.1120  5 Br 3.04-3.20, 1 Ge 3.15
Ge 0.0000 0.5000 0.0000  6 Sr 3.15-3.19
Br 0.0000 0.5000 0.5000  4 Sr 3.21
Br 0.1662 0.0000 0.3387  3 Sr 3.04-3.13
Br 0.1698 0.0000 0.8699  4 Sr 3.16-3.24

Calculated values
Calculated volume ... 38.70 Å³ per atom
Raw formation energy ... -1.69 eV/atom
Crystal system ... monoclinic



# 5
# AsHPbBr2

A relaxed structure of AsHPbBr2 (PBE-GGA, the Alexandria database).

abc: 5.7590 5.7590 3.6260
angles: 90.00 90.00 90.00
Last column: nearest neighbours and their distance in Å.
Space group P4/mmm (No. 123)
One atom of each set of equivalent atoms:
As 0.0000 0.0000 0.0000  2 H 1.81
H 0.0000 0.0000 0.5000  2 As 1.81
Pb 0.5000 0.5000 0.5000  8 Br 3.40, 2 Pb 3.63
Br 0.0000 0.5000 0.0000  2 As 2.88

Calculated values
Energy above the lowest structure with this stoichiometry ... 0 kJ/mol of formula units
Calculated volume ... 24.05 Å³ per atom
Crystal system ... tetragonal



# 6
# Si3BP

A relaxed structure of Si3BP (PBE-GGA, the Alexandria database).

abc: 4.1397 4.1397 4.1397
angles: 90.00 90.00 90.00
Last column: nearest neighbours and their distance in Å.
Space group Pm-3m (No. 221)
One atom of each set of equivalent atoms:
Si 0.0000 0.0000 0.5000  2 B 2.07
B 0.0000 0.0000 0.0000  6 Si 2.07
P 0.5000 0.5000 0.5000  12 Si 2.93

Calculated values
Energy above the lowest structure with this stoichiometry ... 0 kJ/mol of formula units
Calculated volume ... 14.19 Å³ per atom
Raw formation energy ... 0.74 eV/atom
Crystal system ... cubic



# 7
# ErHfMg2

A relaxed structure of ErHfMg2 (PBE-GGA, the Alexandria database).

abc: 7.2335 7.2335 7.2335
angles: 90.00 90.00 90.00
Last column: nearest neighbours and their distance in Å.
Space group Fm-3m (No. 225)
One atom of each set of equivalent atoms:
Er 0.0000 0.0000 0.0000  8 Mg 3.13
Hf 0.0000 0.0000 0.5000  8 Mg 3.13
Mg 0.2500 0.2500 0.2500  4 Hf 3.13, 4 Er 3.13

Calculated values
Energy above the lowest structure with this stoichiometry ... 7 kJ/mol of formula units
Calculated volume ... 23.66 Å³ per atom
Crystal system ... cubic



# 8
# K3PuPa3Se8

A relaxed structure of K3PuPa3Se8 (PBE-GGA, the Alexandria database).

abc: 8.3831 8.3831 23.5336
angles: 90.00 90.00 120.00
Last column: nearest neighbours and their distance in Å.
Space group R-3m (No. 166, hexagonal axes)
One atom of each set of equivalent atoms:
K 0.0000 0.5000 0.0000  6 Se 3.33-3.36
Pu 0.0000 0.0000 0.5000  6 Se 2.96
Pa 0.0000 0.5000 0.5000  6 Se 2.89-2.92
Se 0.0000 0.0000 0.2364  3 Pa 2.92
Se 0.0077 0.5039 0.7647  2 Pa 2.89, 1 Pu 2.96

Calculated values
Calculated volume ... 31.83 Å³ per atom
Raw formation energy ... -1.37 eV/atom
Crystal system ... trigonal



# 9
# YAg2

A relaxed structure of YAg2 (PBE-GGA, the Alexandria database).

abc: 4.7565 4.7565 3.4489
angles: 90.00 90.00 120.00
Last column: nearest neighbours and their distance in Å.
Space group P6/mmm (No. 191)
One atom of each set of equivalent atoms:
Y 0.0000 0.0000 0.0000  12 Ag 3.24, 2 Y 3.45
Ag 0.3333 0.6667 0.5000  3 Ag 2.75

Calculated values
Total energy ... -4.3171 eV per atom
Calculated volume ... 22.53 Å³ per atom
Crystal system ... hexagonal



# 10
# AlSbPb2Au6

A relaxed structure of AlSbPb2Au6 (PBE-GGA, the Alexandria database).

abc: 5.6999 9.0587 9.2596
angles: 90.00 90.00 90.00
Last column: nearest neighbours and their distance in Å.
Space group Pmmn (No. 59, origin choice 2)
One atom of each set of equivalent atoms:
Al 0.2500 0.2500 0.2473  6 Au 2.51-2.62
Sb 0.2500 0.7500 0.2733  6 Au 2.73-3.02
Pb 0.2500 0.5094 0.7271  7 Au 3.20-3.52
Au 0.0043 0.2500 0.4724  1 Al 2.51, 1 Sb 2.76, 1 Au 2.80
Au 0.0043 0.7500 0.9840  1 Al 2.59, 5 Au 2.80-2.88
Au 0.2500 0.5014 0.1065  1 Al 2.62, 1 Sb 2.73, 4 Au 2.83-2.88

Calculated values
Calculated volume ... 23.91 Å³ per atom
Raw formation energy ... -0.10 eV/atom
Crystal system ... orthorhombic



# 11
# Cd2Ga2Pd5Au

A relaxed structure of Cd2Ga2Pd5Au (PBE-GGA, the Alexandria database).

abc: 9.5018 9.5018 3.7815
angles: 90.00 90.00 90.00
Last column: nearest neighbours and their distance in Å.
Space group P4/mbm (No. 127)
One atom of each set of equivalent atoms:
Cd 0.1722 0.3278 0.0000  3 Ga 2.69-2.88, 2 Pd 2.99
Ga 0.1274 0.6274 0.0000  6 Pd 2.53-2.55, 1 Cd 2.69
Pd 0.0000 0.5000 0.5000  4 Ga 2.55
Pd 0.0774 0.7971 0.5000  2 Ga 2.53, 2 Au 2.80
Au 0.0000 0.0000 0.0000  8 Pd 2.80

Calculated values
Total energy ... -4.0922 eV per atom
Calculated volume ... 17.07 Å³ per atom
Crystal system ... tetragonal



# 12
# KCr2Cl

A relaxed structure of KCr2Cl (PBE-GGA, the Alexandria database).

abc: 5.7633 12.1419 3.2890
angles: 90.00 90.00 90.00
Last column: nearest neighbours and their distance in Å.
Space group Cmmm (No. 65)
One atom of each set of equivalent atoms:
K 0.0000 0.0000 0.0000  2 Cl 2.88
Cr 0.2500 0.2500 0.5000  2 Cr 2.88
Cl 0.0000 0.5000 0.0000  2 K 2.88

Calculated values
Energy above the lowest structure with this stoichiometry ... 284 kJ/mol of formula units
Calculated volume ... 28.77 Å³ per atom
Raw formation energy ... 0.74 eV/atom
Crystal system ... orthorhombic



# 13
# LiPSe3

A relaxed structure of LiPSe3 (PBE-GGA, the Alexandria database).

abc: 4.9001 4.9001 4.9001
angles: 90.00 90.00 90.00
Last column: nearest neighbours and their distance in Å.
Space group Pm-3m (No. 221)
One atom of each set of equivalent atoms:
Li 0.0000 0.0000 0.0000  12 Se 3.46
P 0.5000 0.5000 0.5000  6 Se 2.45
Se 0.0000 0.5000 0.5000  2 P 2.45

Calculated values
Energy above the lowest structure with this stoichiometry ... 204 kJ/mol of formula units
Calculated volume ... 23.53 Å³ per atom
Raw formation energy ... 0.06 eV/atom
Crystal system ... cubic



# 14
# LaTbGaRh

A relaxed structure of LaTbGaRh (PBE-GGA, the Alexandria database).

abc: 4.3202 4.3775 10.3171
angles: 90.00 90.00 90.00
Last column: nearest neighbours and their distance in Å.
Space group Amm2 (No. 38)
One atom of each set of equivalent atoms:
La 0.0000 0.0000 0.0000  1 Rh 2.67
Tb 0.5000 0.0000 0.2910  3 Ga 3.01-3.10, 4 Rh 3.12
Ga 0.5000 0.0000 0.5910  2 Rh 2.66
Rh 0.0000 0.0000 0.7409  2 Ga 2.66, 1 La 2.67

Calculated values
Energy above the lowest structure with this stoichiometry ... 0 kJ/mol of formula units
Calculated volume ... 24.39 Å³ per atom
Crystal system ... orthorhombic



# 15
# AlZnTcW

A relaxed structure of AlZnTcW (PBE-GGA, the Alexandria database).

abc: 6.1773 6.1773 6.1773
angles: 90.00 90.00 90.00
Last column: nearest neighbours and their distance in Å.
Space group F-43m (No. 216)
One atom of each set of equivalent atoms:
Al 0.0000 0.0000 0.0000  4 Tc 2.67, 4 Zn 2.67
Zn 0.2500 0.2500 0.2500  4 W 2.67, 4 Al 2.67
Tc 0.2500 0.2500 0.7500  4 W 2.67, 4 Al 2.67
W 0.0000 0.0000 0.5000  4 Zn 2.67, 4 Tc 2.67

Calculated values
Total energy ... -7.1366 eV per atom
Calculated volume ... 14.73 Å³ per atom
Crystal system ... cubic



# 16
# KYRu2

A relaxed structure of KYRu2 (PBE-GGA, the Alexandria database).

abc: 3.0831 3.0831 9.3966
angles: 90.00 90.00 90.00
Last column: nearest neighbours and their distance in Å.
Space group P4/mmm (No. 123)
One atom of each set of equivalent atoms:
K 0.0000 0.0000 0.0000  4 K 3.08
Y 0.0000 0.0000 0.5000  8 Ru 2.97, 4 Y 3.08
Ru 0.5000 0.5000 0.2855  4 Y 2.97, 4 Ru 3.08

Calculated values
Energy above the lowest structure with this stoichiometry ... 163 kJ/mol of formula units
Calculated volume ... 22.33 Å³ per atom
Crystal system ... tetragonal



# 17
# Tm3CdIr

A relaxed structure of Tm3CdIr (PBE-GGA, the Alexandria database).

abc: 5.6344 5.8196 8.7519
angles: 101.83 101.08 112.88
Last column: nearest neighbours and their distance in Å.
Space group P-1 (No. 2)
One atom of each set of equivalent atoms:
Tm 0.0709 0.1976 0.2784  2 Ir 2.83-2.84, 2 Cd 3.12-3.15
Tm 0.2947 0.4215 0.7219  2 Ir 2.83-2.84, 2 Cd 3.12-3.14
Tm 0.2994 0.7994 0.0993  4 Ir 2.93-3.02
Cd 0.3002 0.7762 0.4984  1 Cd 2.69
Ir 0.2498 0.2498 0.9998  8 Tm 2.83-3.02, 2 Ir 3.17

Calculated values
Energy above the lowest structure with this stoichiometry ... 0 kJ/mol of formula units
Calculated volume ... 24.67 Å³ per atom
Crystal system ... triclinic



# 18
# ReSn3S

A relaxed structure of ReSn3S (PBE-GGA, the Alexandria database).

abc: 5.1587 5.1587 5.1587
angles: 90.00 90.00 90.00
Last column: nearest neighbours and their distance in Å.
Space group Pm-3m (No. 221)
One atom of each set of equivalent atoms:
Re 0.0000 0.0000 0.0000  6 Sn 2.58
Sn 0.0000 0.0000 0.5000  2 Re 2.58
S 0.5000 0.5000 0.5000  12 Sn 3.65

Calculated values
Energy above the lowest structure with this stoichiometry ... 0 kJ/mol of formula units
Calculated volume ... 27.46 Å³ per atom
Raw formation energy ... 0.34 eV/atom
Crystal system ... cubic



# 19
# SmHPb

A relaxed structure of SmHPb (PBE-GGA, the Alexandria database).

abc: 3.3101 3.3101 11.9187
angles: 90.00 90.00 90.00
Last column: nearest neighbours and their distance in Å.
Space group I4mm (No. 107)
One atom of each set of equivalent atoms:
Sm 0.0000 0.0000 0.0000  4 H 2.39
H 0.0000 0.0000 0.5403  4 Sm 2.39
Pb 0.0000 0.0000 0.2794  1 H 3.11, 4 Pb 3.31, 1 Sm 3.33

Calculated values
Energy above the lowest structure with this stoichiometry ... 69 kJ/mol of formula units
Calculated volume ... 21.77 Å³ per atom
Crystal system ... tetragonal



# 20
# LiTh2Sn

A relaxed structure of LiTh2Sn (PBE-GGA, the Alexandria database).

abc: 3.3727 3.3727 36.9849
angles: 90.00 90.00 120.00
Last column: nearest neighbours and their distance in Å.
Space group R-3m (No. 166, hexagonal axes)
One atom of each set of equivalent atoms:
Li 0.0000 0.0000 0.0000  2 Th 3.36, 6 Li 3.37
Th 0.0000 0.0000 0.0908  1 Li 3.36, 6 Th 3.37, 3 Sn 3.42
Sn 0.0000 0.0000 0.5000  6 Sn 3.37, 6 Th 3.42

Calculated values
Energy above the lowest structure with this stoichiometry ... 130 kJ/mol of formula units
Calculated volume ... 30.36 Å³ per atom
Crystal system ... trigonal